[1]
Na6PdF8 after structural relaxation, computed with PBE.

Computed properties:
* calculated density: 3.1 Mg/m³
* space group: Fm-3m

Lattice parameters (Å, degrees): 6.6667 6.6667 6.6667 60.00 60.00 60.00
Element x y z (fractional)
Na1 0.0000 0.0000 0.5000
Na2 0.0000 0.5000 0.0000
Na3 0.0000 0.5000 0.5000
Na4 0.5000 0.0000 0.0000
Na5 0.5000 0.0000 0.5000
Na6 0.5000 0.5000 0.0000
Pd1 0.0000 0.0000 0.0000
F1 0.2339 0.2339 0.7661
F2 0.2339 0.7661 0.2339
F3 0.2339 0.7661 0.7661
F4 0.2500 0.2500 0.2500
F5 0.7500 0.7500 0.7500
F6 0.7661 0.2339 0.2339
F7 0.7661 0.2339 0.7661
F8 0.7661 0.7661 0.2339

---

[2]
Li4Cd5Sn after structural relaxation, computed with PBE.

Computed properties:
* calculated density: 6.0 Mg/m³
* ΔE_f: -0.232 eV/atom
* energy above the lowest structure with this stoichiometry: 0 meV per atom
* space group: P-1

Lattice parameters (Å, degrees): 4.7064 5.9829 7.7138 72.63 72.32 89.69
Element x y z (fractional)
Li1 0.0971 0.3799 0.3079
Li2 0.3021 0.2046 0.8967
Li3 0.6979 0.7954 0.1033
Li4 0.9029 0.6201 0.6921
Cd1 0.1114 0.8932 0.2768
Cd2 0.2891 0.6903 0.9198
Cd3 0.5000 0.0000 0.5000
Cd4 0.7109 0.3097 0.0802
Cd5 0.8886 0.1068 0.7232
Sn1 0.5000 0.5000 0.5000

---

[3]
Zr2Mn2ZnCo5 after structural relaxation, computed with PBE.

Computed properties:
* calculated density: 7.9 Mg/m³
* ΔE_f: -0.029 eV/atom
* space group: P4/mbm

Lattice parameters (Å, degrees): 8.6393 8.6393 3.6767 90.00 90.00 90.00
Element x y z (fractional)
Zr1 0.1804 0.3196 0.0000
Zr2 0.3196 0.8196 0.0000
Zr3 0.6804 0.1804 0.0000
Zr4 0.8196 0.6804 0.0000
Mn1 0.1174 0.6174 0.0000
Mn2 0.3826 0.1174 0.0000
Mn3 0.6174 0.8826 0.0000
Mn4 0.8826 0.3826 0.0000
Zn1 0.0000 0.0000 0.0000
Zn2 0.5000 0.5000 0.0000
Co1 0.0000 0.5000 0.5000
Co2 0.0601 0.7946 0.5000
Co3 0.2054 0.0601 0.5000
Co4 0.2946 0.5601 0.5000
Co5 0.4399 0.2946 0.5000
Co6 0.5000 0.0000 0.5000
Co7 0.5601 0.7054 0.5000
Co8 0.7054 0.4399 0.5000
Co9 0.7946 0.9399 0.5000
Co10 0.9399 0.2054 0.5000

---

[4]
Nb2Ga2Pd after structural relaxation, computed with PBE.

Computed properties:
* calculated density: 8.6 Mg/m³
* ΔE_f: -0.326 eV/atom
* energy above the lowest structure with this stoichiometry: 0 meV per atom
* space group: P4/mbm

Lattice parameters (Å, degrees): 6.4690 6.4690 3.9712 90.00 90.00 90.00
Element x y z (fractional)
Nb1 0.1618 0.3382 0.0000
Nb2 0.3382 0.8382 0.0000
Nb3 0.6618 0.1618 0.0000
Nb4 0.8382 0.6618 0.0000
Ga1 0.1382 0.6382 0.5000
Ga2 0.3618 0.1382 0.5000
Ga3 0.6382 0.8618 0.5000
Ga4 0.8618 0.3618 0.5000
Pd1 0.0000 0.0000 0.5000
Pd2 0.5000 0.5000 0.5000

---

For each record above, in turn, the calculated calculated total energy values are -4.29; -1.86; -7.25; -6.60 eV/atom.
For each record above, in turn, the calculated total magnetic moment values are 2.0; 0.0; 17.9; 0.0 μB/cell.